Entry 1:
VASP calculation (PBE) on a geometry-optimized CaTbHoEr structure.

Properties
- DOS(E_F): 29.998 states/eV per cell
- Energy of formation from the pure elements: 0.170 eV/atom
- Total magnetic moment: 0.0 Bohr magnetons per cell
- Mass density: 6.67 g/cm³

Cell: 8.0894 8.0894 8.0894 Å, 90.00 90.00 90.00°
Closest atoms and distances in Å follow each position.
Space group F-43m (No. 216)
Inequivalent atoms, fractional coordinates:
1 Ca 0.0000 0.0000 0.0000 [4 per cell]  4 Tb 3.50, 4 Ho 3.50
2 Tb 0.2500 0.2500 0.2500 [4 per cell]  4 Er 3.50, 4 Ca 3.50
3 Ho 0.2500 0.2500 0.7500 [4 per cell]  4 Er 3.50, 4 Ca 3.50
4 Er 0.0000 0.0000 0.5000 [4 per cell]  4 Ho 3.50, 4 Tb 3.50

---

Entry 2:
VASP calculation (PBE) on a geometry-optimized CaHo3Er2Te6 structure.

Properties
- DOS(E_F): 11.263 states/eV per cell
- Uncorrected formation energy: -15.56 eV per formula unit
- Total magnetic moment: 0.0 Bohr magnetons per cell
- Mass density: 7.75 g/cm³

Cell: 18.9909 4.3526 8.7202 Å, 90.00 103.63 90.00°
Closest atoms and distances in Å follow each position.
Space group C2/m (No. 12)
Inequivalent atoms, fractional coordinates:
1 Ca 0.0000 0.0000 0.0000 [2 per cell]  6 Te 3.09-3.11
2 Ho 0.0000 0.0000 0.5000 [2 per cell]  6 Te 3.05-3.07
3 Ho 0.1650 0.5000 0.8230 [4 per cell]  6 Te 3.04-3.13
4 Er 0.1709 0.5000 0.3416 [4 per cell]  6 Te 3.03-3.12
5 Te 0.0028 0.5000 0.2536 [4 per cell]  3 Ho 3.07-3.10, 2 Ca 3.09, 1 Er 3.10
6 Te 0.1650 0.0000 0.5803 [4 per cell]  3 Er 3.03, 3 Ho 3.04-3.05
7 Te 0.1686 0.0000 0.0833 [4 per cell]  3 Ho 3.07-3.13, 1 Ca 3.11, 2 Er 3.12

---

Entry 3:
VASP calculation (PBE) on a geometry-optimized Ca3HoEr2Te6 structure.

Properties
- DOS(E_F): 9.725 states/eV per cell
- Uncorrected formation energy: -17.13 eV per formula unit
- Total magnetic moment: 0.0 Bohr magnetons per cell
- Mass density: 6.33 g/cm³

Cell: 7.5862 13.1258 7.7207 Å, 90.00 109.15 90.00°
Closest atoms and distances in Å follow each position.
Space group C2/m (No. 12)
Inequivalent atoms, fractional coordinates:
1 Ca 0.0000 0.0000 0.0000 [2 per cell]  6 Te 3.14-3.15
2 Ca 0.0000 0.3337 0.0000 [4 per cell]  6 Te 3.14-3.15
3 Ho 0.0000 0.5000 0.5000 [2 per cell]  6 Te 3.09
4 Er 0.0000 0.1667 0.5000 [4 per cell]  6 Te 3.08
5 Te 0.2466 0.0000 0.7426 [4 per cell]  2 Er 3.08, 1 Ho 3.09, 3 Ca 3.14-3.15
6 Te 0.2480 0.3328 0.7427 [8 per cell]  2 Er 3.08, 1 Ho 3.09, 3 Ca 3.14-3.15

---

Entry 4:
VASP calculation (PBE) on a geometry-optimized Ca4Ho3ErTe8 structure.

Properties
- DOS(E_F): 18.075 states/eV per cell
- Uncorrected formation energy: -22.95 eV per formula unit
- Total magnetic moment: 0.0 Bohr magnetons per cell
- Mass density: 6.31 g/cm³

Cell: 8.7614 8.7614 21.8984 Å, 90.00 90.00 120.00°
Closest atoms and distances in Å follow each position.
Space group R-3m (No. 166, hexagonal axes)
Inequivalent atoms, fractional coordinates:
1 Ca 0.0000 0.0000 0.0000 [3 per cell]  6 Te 3.15
2 Ca 0.0000 0.5000 0.0000 [9 per cell]  6 Te 3.15
3 Ho 0.0000 0.5000 0.5000 [9 per cell]  6 Te 3.09
4 Er 0.0000 0.0000 0.5000 [3 per cell]  6 Te 3.08
5 Te 0.0000 0.0000 0.2478 [6 per cell]  3 Ho 3.09, 3 Ca 3.15
6 Te 0.0009 0.5004 0.2476 [18 per cell]  1 Er 3.08, 2 Ho 3.09, 3 Ca 3.15

---

Entry 5:
VASP calculation (PBE) on a geometry-optimized CaHo2ErTe4 structure.

Properties
- DOS(E_F): 3.593 states/eV per cell
- Uncorrected formation energy: -10.62 eV per formula unit
- Total magnetic moment: 0.0 Bohr magnetons per cell
- Mass density: 7.39 g/cm³

Cell: 7.5639 4.3463 7.5739 Å, 90.00 109.13 90.00°
Closest atoms and distances in Å follow each position.
Space group P2/m (No. 10)
Inequivalent atoms, fractional coordinates:
1 Ca 0.0000 0.0000 0.0000 [1 per cell]  6 Te 3.10-3.11
2 Ho 0.0000 0.5000 0.5000 [1 per cell]  6 Te 3.09
3 Ho 0.5000 0.0000 0.5000 [1 per cell]  6 Te 3.07
4 Er 0.5000 0.5000 0.0000 [1 per cell]  6 Te 3.08
5 Te 0.2522 0.0000 0.7499 [2 per cell]  3 Ho 3.07-3.09, 2 Er 3.08, 1 Ca 3.10
6 Te 0.2536 0.5000 0.2526 [2 per cell]  3 Ho 3.07-3.09, 1 Er 3.08, 2 Ca 3.11

---

Entry 6:
VASP calculation (PBE) on a geometry-optimized Ca3Ho2ErTe6 structure.

Properties
- DOS(E_F): 9.755 states/eV per cell
- Uncorrected formation energy: -17.19 eV per formula unit
- Total magnetic moment: 0.0 Bohr magnetons per cell
- Mass density: 6.31 g/cm³

Cell: 7.5906 13.1321 7.7295 Å, 90.00 109.13 90.00°
Closest atoms and distances in Å follow each position.
Space group C2/m (No. 12)
Inequivalent atoms, fractional coordinates:
1 Ca 0.0000 0.0000 0.0000 [2 per cell]  6 Te 3.15-3.16
2 Ca 0.0000 0.3330 0.0000 [4 per cell]  6 Te 3.15
3 Ho 0.0000 0.1665 0.5000 [4 per cell]  6 Te 3.09
4 Er 0.0000 0.5000 0.5000 [2 per cell]  6 Te 3.08-3.09
5 Te 0.2471 0.3338 0.7430 [8 per cell]  1 Er 3.08, 2 Ho 3.09, 3 Ca 3.15
6 Te 0.2488 0.0000 0.7433 [4 per cell]  1 Er 3.09, 2 Ho 3.09, 3 Ca 3.15-3.16

---

Entry 7:
VASP calculation (PBE) on a geometry-optimized CaHoEr4Te8 structure.

Properties
- DOS(E_F): 13.669 states/eV per cell
- Uncorrected formation energy: -18.14 eV per formula unit
- Total magnetic moment: 0.0 Bohr magnetons per cell
- Mass density: 6.02 g/cm³

Cell: 9.0386 9.0386 22.1691 Å, 90.00 90.00 120.00°
Closest atoms and distances in Å follow each position.
Space group R3m (No. 160, hexagonal axes)
Inequivalent atoms, fractional coordinates:
1 Ca 0.0000 0.0000 0.0000 [3 per cell]  4 Te 2.99
2 Ho 0.0000 0.0000 0.3722 [3 per cell]  6 Te 3.05-3.14
3 Er 0.0000 0.0000 0.7495 [3 per cell]  4 Te 2.94-2.95
4 Er 0.0053 0.5027 0.8752 [9 per cell]  6 Te 3.04-3.12
5 Te 0.0000 0.0000 0.1349 [3 per cell]  1 Ca 2.99, 3 Er 3.04
6 Te 0.0000 0.0000 0.6165 [3 per cell]  4 Er 2.95-3.12
7 Te 0.0209 0.5104 0.1274 [9 per cell]  3 Er 2.94-3.12, 1 Ho 3.14
8 Te 0.1796 0.3593 0.9541 [9 per cell]  1 Ca 2.99, 2 Er 3.04, 1 Ho 3.05

---

Entry 8:
VASP calculation (PBE) on a geometry-optimized CaHoEr2Te4 structure.

Properties
- DOS(E_F): 3.622 states/eV per cell
- Uncorrected formation energy: -10.56 eV per formula unit
- Total magnetic moment: 0.0 Bohr magnetons per cell
- Mass density: 7.43 g/cm³

Cell: 7.5564 4.3428 7.5661 Å, 90.00 109.15 90.00°
Closest atoms and distances in Å follow each position.
Space group P2/m (No. 10)
Inequivalent atoms, fractional coordinates:
1 Ca 0.0000 0.0000 0.0000 [1 per cell]  6 Te 3.10-3.11
2 Ho 0.0000 0.5000 0.5000 [1 per cell]  6 Te 3.09
3 Er 0.5000 0.0000 0.5000 [1 per cell]  6 Te 3.06
4 Er 0.5000 0.5000 0.0000 [1 per cell]  6 Te 3.07-3.08
5 Te 0.2528 0.0000 0.7493 [2 per cell]  3 Er 3.06-3.08, 2 Ho 3.09, 1 Ca 3.10
6 Te 0.2546 0.5000 0.2536 [2 per cell]  3 Er 3.06-3.07, 1 Ho 3.09, 2 Ca 3.11

---

Entry 9:
VASP calculation (PBE) on a geometry-optimized CaHo2ErTl4 structure.

Properties
- DOS(E_F): 16.060 states/eV per cell
- Energy of formation from the pure elements: -0.342 eV/atom
- Total magnetic moment: 0.0 Bohr magnetons per cell
- Mass density: 10.22 g/cm³

Cell: 5.3752 5.3752 26.3775 Å, 90.00 90.00 120.00°
Closest atoms and distances in Å follow each position.
Space group R-3m (No. 166, hexagonal axes)
Inequivalent atoms, fractional coordinates:
1 Ca 0.0000 0.0000 0.0000 [3 per cell]  8 Tl 3.31-3.34
2 Ho 0.0000 0.0000 0.2518 [6 per cell]  8 Tl 3.26-3.32
3 Er 0.0000 0.0000 0.5000 [3 per cell]  8 Tl 3.25-3.28
4 Tl 0.0000 0.0000 0.1265 [6 per cell]  3 Er 3.28, 4 Ho 3.30-3.32, 1 Ca 3.34
5 Tl 0.0000 0.0000 0.3769 [6 per cell]  1 Er 3.25, 4 Ho 3.26-3.30, 3 Ca 3.31

---

Entry 10:
VASP calculation (PBE) on a geometry-optimized CaHoEr2Tl4 structure.

Properties
- DOS(E_F): 15.662 states/eV per cell
- Energy of formation from the pure elements: -0.339 eV/atom
- Total magnetic moment: 0.0 Bohr magnetons per cell
- Mass density: 10.27 g/cm³

Cell: 5.3693 5.3693 26.3629 Å, 90.00 90.00 120.00°
Closest atoms and distances in Å follow each position.
Space group R-3m (No. 166, hexagonal axes)
Inequivalent atoms, fractional coordinates:
1 Ca 0.0000 0.0000 0.0000 [3 per cell]  8 Tl 3.30-3.33
2 Ho 0.0000 0.0000 0.5000 [3 per cell]  8 Tl 3.26-3.28
3 Er 0.0000 0.0000 0.2517 [6 per cell]  8 Tl 3.26-3.31
4 Tl 0.0000 0.0000 0.1262 [6 per cell]  3 Ho 3.28, 4 Er 3.31, 1 Ca 3.33
5 Tl 0.0000 0.0000 0.3765 [6 per cell]  1 Ho 3.26, 4 Er 3.26-3.29, 3 Ca 3.30

---

Entry 11:
VASP calculation (PBE) on a geometry-optimized CaErI5 structure.

Properties
- DOS(E_F): 0.000 states/eV per cell
- Uncorrected formation energy: -9.73 eV per formula unit
- Total magnetic moment: 0.0 Bohr magnetons per cell
- Mass density: 4.07 g/cm³

Cell: 11.9316 10.8123 11.9685 Å, 90.00 117.26 90.00°
Closest atoms and distances in Å follow each position.
Space group C2/c (No. 15)
Inequivalent atoms, fractional coordinates:
1 Ca 0.0000 0.0606 0.2500 [4 per cell]  5 I 3.08-3.23
2 Er 0.2500 0.2500 0.0000 [4 per cell]  6 I 2.98-3.11
3 I 0.0000 0.2378 0.7500 [4 per cell]  2 Er 3.11, 1 Ca 3.23
4 I 0.1041 0.2672 0.1458 [8 per cell]  1 Er 2.98, 1 Ca 3.08
5 I 0.2401 0.0253 0.5021 [8 per cell]  1 Er 2.98, 1 Ca 3.09

---

Entry 12:
VASP calculation (PBE) on a geometry-optimized CaErI2 structure.

Properties
- DOS(E_F): 11.821 states/eV per cell
- Uncorrected formation energy: -3.01 eV per formula unit
- Total magnetic moment: 0.0 Bohr magnetons per cell
- Mass density: 5.16 g/cm³

Cell: 3.9538 3.9538 32.8725 Å, 90.00 90.00 120.00°
Closest atoms and distances in Å follow each position.
Space group R-3m (No. 166, hexagonal axes)
Inequivalent atoms, fractional coordinates:
1 Ca 0.0000 0.0000 0.0000 [3 per cell]  2 I 3.38
2 Er 0.0000 0.0000 0.5000 [3 per cell]  6 I 3.10
3 I 0.0000 0.0000 0.1029 [6 per cell]  3 Er 3.10, 1 Ca 3.38

---

Entry 13:
VASP calculation (PBE) on a geometry-optimized CaErI structure.

Properties
- DOS(E_F): 11.472 states/eV per cell
- Uncorrected formation energy: -1.41 eV per formula unit
- Total magnetic moment: 3.4 Bohr magnetons per cell
- Mass density: 5.61 g/cm³

Cell: 15.3571 3.8588 6.6819 Å, 90.00 90.00 90.00°
Closest atoms and distances in Å follow each position.
Space group Amm2 (No. 38)
Inequivalent atoms, fractional coordinates:
1 Ca 0.0000 0.0000 0.0000 [2 per cell]  6 I 3.28
2 Ca 0.5000 0.0000 0.3346 [2 per cell]  6 Er 3.68, 6 Ca 3.86
3 Er 0.3096 0.0000 0.0008 [4 per cell]  3 I 3.23-3.24
4 I 0.1569 0.0000 0.3338 [4 per cell]  3 Er 3.23-3.24, 3 Ca 3.28

---

Entry 14:
VASP calculation (PBE) on a geometry-optimized CaErI6 structure.

Properties
- DOS(E_F): 13.432 states/eV per cell
- Uncorrected formation energy: -9.23 eV per formula unit
- Total magnetic moment: 0.0 Bohr magnetons per cell
- Mass density: 4.70 g/cm³

Cell: 7.6695 7.6695 8.0119 Å, 61.87 61.86 60.08°
Closest atoms and distances in Å follow each position.
Space group P-1 (No. 2)
Inequivalent atoms, fractional coordinates:
1 Ca 0.0000 0.0000 0.0000 [1 per cell]  6 I 3.16
2 Er 0.5000 0.5000 0.5000 [1 per cell]  6 I 3.01
3 I 0.0823 0.7381 0.7455 [2 per cell]  1 Er 3.01, 1 Ca 3.16
4 I 0.2661 0.5672 0.2482 [2 per cell]  1 Er 3.01, 1 Ca 3.16
5 I 0.4302 0.0853 0.7478 [2 per cell]  1 Er 3.01, 1 Ca 3.16

---

Entry 15:
VASP calculation (PBE) on a geometry-optimized CaErInI6 structure.

Properties
- DOS(E_F): 0.000 states/eV per cell
- Uncorrected formation energy: -11.25 eV per formula unit
- Total magnetic moment: 0.0 Bohr magnetons per cell
- Mass density: 4.34 g/cm³

Cell: 7.9234 7.9234 15.2486 Å, 90.00 90.00 120.00°
Closest atoms and distances in Å follow each position.
Space group P-31c (No. 163)
Inequivalent atoms, fractional coordinates:
1 Ca 0.3333 0.6667 0.2500 [2 per cell]  6 I 3.15
2 Er 0.3333 0.6667 0.7500 [2 per cell]  6 I 3.03
3 In 0.0000 0.0000 0.0000 [2 per cell]  6 I 3.53
4 I 0.0120 0.3687 0.6343 [12 per cell]  1 Er 3.03, 1 Ca 3.15

---

Entry 16:
VASP calculation (PBE) on a geometry-optimized NaCaErI6 structure.

Properties
- DOS(E_F): 0.000 states/eV per cell
- Uncorrected formation energy: -12.79 eV per formula unit
- Total magnetic moment: 0.0 Bohr magnetons per cell
- Mass density: 4.29 g/cm³

Cell: 7.8279 7.8279 14.4517 Å, 90.00 90.00 120.00°
Closest atoms and distances in Å follow each position.
Space group P-31c (No. 163)
Inequivalent atoms, fractional coordinates:
1 Na 0.0000 0.0000 0.0000 [2 per cell]  6 I 3.33
2 Ca 0.3333 0.6667 0.2500 [2 per cell]  6 I 3.15
3 Er 0.3333 0.6667 0.7500 [2 per cell]  6 I 3.02
4 I 0.0122 0.3580 0.6289 [12 per cell]  1 Er 3.02, 1 Ca 3.15, 1 Na 3.33

---

Entry 17:
VASP calculation (PBE) on a geometry-optimized CaErIO6 structure.

Properties
- DOS(E_F): 0.000 states/eV per cell
- Uncorrected formation energy: -17.22 eV per formula unit
- Total magnetic moment: 0.0 Bohr magnetons per cell
- Mass density: 5.51 g/cm³

Cell: 5.5663 5.5663 9.6697 Å, 90.00 90.00 120.00°
Closest atoms and distances in Å follow each position.
Space group P-31c (No. 163)
Inequivalent atoms, fractional coordinates:
1 Ca 0.0000 0.0000 0.0000 [2 per cell]  6 O 2.44
2 Er 0.3333 0.6667 0.2500 [2 per cell]  6 O 2.25
3 I 0.3333 0.6667 0.7500 [2 per cell]  6 O 1.91
4 O 0.0463 0.3873 0.6389 [12 per cell]  1 I 1.91

---

Entry 18:
VASP calculation (PBE) on a geometry-optimized RbCa2ErI8 structure.

Properties
- DOS(E_F): 0.000 states/eV per cell
- Uncorrected formation energy: -17.46 eV per formula unit
- Total magnetic moment: 0.0 Bohr magnetons per cell
- Mass density: 4.12 g/cm³

Cell: 7.2353 9.7888 7.6730 Å, 90.00 90.61 90.00°
Closest atoms and distances in Å follow each position.
Space group P2/m (No. 10)
Inequivalent atoms, fractional coordinates:
1 Rb 0.0000 0.0000 0.0000 [1 per cell]  6 I 3.52-3.55
2 Ca 0.5000 0.2521 0.5000 [2 per cell]  6 I 3.13-3.30
3 Er 0.0000 0.5000 0.0000 [1 per cell]  6 I 3.00-3.13
4 I 0.2451 0.2874 0.1626 [4 per cell]  1 Er 3.00, 1 Ca 3.18
5 I 0.2520 0.5000 0.6713 [2 per cell]  1 Er 3.13, 2 Ca 3.30
6 I 0.2670 0.0000 0.6196 [2 per cell]  2 Ca 3.13

---

Entry 19:
VASP calculation (PBE) on a geometry-optimized RbCaErI6 structure.

Properties
- DOS(E_F): 0.000 states/eV per cell
- Uncorrected formation energy: -13.47 eV per formula unit
- Total magnetic moment: 0.0 Bohr magnetons per cell
- Mass density: 3.89 g/cm³

Cell: 7.9887 7.9887 16.2798 Å, 90.00 90.00 120.00°
Closest atoms and distances in Å follow each position.
Space group P-31c (No. 163)
Inequivalent atoms, fractional coordinates:
1 Rb 0.0000 0.0000 0.0000 [2 per cell]  6 I 3.75
2 Ca 0.3333 0.6667 0.2500 [2 per cell]  6 I 3.15
3 Er 0.3333 0.6667 0.7500 [2 per cell]  6 I 3.03
4 I 0.0118 0.3761 0.6410 [12 per cell]  1 Er 3.03, 1 Ca 3.15

---

Entry 20:
VASP calculation (PBE) on a geometry-optimized CaErTlI6 structure.

Properties
- DOS(E_F): 0.000 states/eV per cell
- Uncorrected formation energy: -11.69 eV per formula unit
- Total magnetic moment: 0.0 Bohr magnetons per cell
- Mass density: 4.69 g/cm³

Cell: 7.9540 7.9540 15.1696 Å, 90.00 90.00 120.00°
Closest atoms and distances in Å follow each position.
Space group P-31c (No. 163)
Inequivalent atoms, fractional coordinates:
1 Ca 0.3333 0.6667 0.2500 [2 per cell]  6 I 3.15
2 Er 0.3333 0.6667 0.7500 [2 per cell]  6 I 3.03
3 Tl 0.0000 0.0000 0.0000 [2 per cell]  6 I 3.55
4 I 0.0117 0.3722 0.6336 [12 per cell]  1 Er 3.03, 1 Ca 3.15